Below is a relaxed structure of Cs2NaGaAu, with properties calculated at the PBE-GGA level.

Cell: 7.199 7.199 4.965 Å, 90.00 90.00 90.00°
Space group P4/mmm (No. 123)
Symmetry-distinct sites (fractional):
Cs1 0.000 0.500 0.000
Na1 0.000 0.000 0.500
Ga1 0.500 0.500 0.500
Au1 0.500 0.500 0.000

Spin magnetization, μB per cell: 0.00
DFT formation energy, eV/atom: -0.054